No. 1
Material: LiHf2Rh2
Method: DFT, GGA-PBE
State: optimized geometry

Structure (extended XYZ):
```
5
Lattice="-0.0323 -2.3682 -3.1650 -1.5805 -2.8934 2.1810 -6.8642 -0.4853 -2.0355" Properties=species:S:1:pos:R:3 pbc="T T T"
Rh -3.8514 -2.7421 -2.8463
Rh -4.6255 -3.0047 -0.1732
Hf -2.2781 -2.1095 -0.8670
Hf -6.1989 -3.6373 -2.1525
Li 0.0000 0.0000 0.0000
```

Values from the calculation:
ΔE_f in eV per atom: -0.145
Total energy in eV per atom: -7.450

No. 2
Material: LiHfRh3
Method: DFT, GGA-PBE
State: optimized geometry

Structure (extended XYZ):
```
5
Lattice="-0.1259 2.9689 -3.7784 2.0457 -3.3870 -2.7295 -4.3481 -1.6794 -1.1748" Properties=species:S:1:pos:R:3 pbc="T T T"
Rh 1.0228 -1.6935 -1.3648
Rh -2.1740 -0.8397 -0.5874
Rh -0.0629 1.4845 -1.8892
Hf 0.0000 0.0000 0.0000
Li -1.2141 -1.0487 -3.8413
```

Values from the calculation:
ΔE_f in eV per atom: 0.611
Total energy in eV per atom: -6.173

No. 3
Material: LiHfRh2
Method: DFT, GGA-PBE
State: optimized geometry

Structure (extended XYZ):
```
8
Lattice="-4.4047 -4.9406 1.0769 -0.0530 -1.3831 -6.5616 -0.0900 -4.9885 -2.3746" Properties=species:S:1:pos:R:3 pbc="T T T"
Rh -2.6964 -4.4117 -0.7617
Rh -0.6919 -2.8253 -4.5391
Rh -1.7402 -6.1396 -3.9654
Rh -3.9670 -9.2476 -6.4524
Hf 0.0000 0.0000 0.0000
Hf -3.3618 -6.5454 -2.0200
Li -2.2289 -3.1618 -2.7424
Li -1.1859 -4.7667 -5.8393
```

Values from the calculation:
ΔE_f in eV per atom: -0.264
Total energy in eV per atom: -6.907

No. 4
Material: LiHfRh2
Method: DFT, GGA-PBE
State: optimized geometry

Structure (extended XYZ):
```
4
Lattice="3.1858 0.0000 0.0000 0.0000 3.1858 0.0000 0.0000 0.0000 5.9633" Properties=species:S:1:pos:R:3 pbc="T T T"
Rh 0.0000 0.0000 4.5393
Rh 0.0000 0.0000 1.4240
Hf 1.5929 1.5929 2.9817
Li 1.5929 1.5929 0.0000
```

Values from the calculation:
ΔE_f in eV per atom: -0.711
Total energy in eV per atom: -7.353